# TiCoCuPt GGA-PBE optimized geometry
# total magnetic moment: 0.00 μB/atom
# excess energy over the best structure of this formula in the dataset: 54 meV per atom
# formation energy from the elements: -41.12 kJ per mole of atoms
# energy: -6.711 eV/atom
data_TiCoCuPt
_chemical_formula_sum 'Ti4 Co4 Cu4 Pt4'
_cell_length_a 5.988
_cell_length_b 5.988
_cell_length_c 5.988
_cell_angle_alpha 90.00
_cell_angle_beta 90.00
_cell_angle_gamma 90.00
_space_group_name_H-M_alt 'F -4 3 m'
_space_group_IT_number 216
_space_group_name_Hall 'F -4 2 3'
loop_
_atom_site_label
_atom_site_type_symbol
_atom_site_fract_x
_atom_site_fract_y
_atom_site_fract_z
Ti1 Ti 0.000 0.000 0.000
Co1 Co 0.250 0.250 0.250
Cu1 Cu 0.000 0.000 0.500
Pt1 Pt 0.250 0.250 0.750



# CrGeS2 GGA-PBE optimized geometry
# raw formation energy: -0.34 eV/atom
# total magnetic moment: 0.71 μB/atom
# energy: -5.962 eV/atom
data_CrGeS2
_chemical_formula_sum 'Cr4 Ge4 S8'
_cell_length_a 15.857
_cell_length_b 3.409
_cell_length_c 5.881
_cell_angle_alpha 90.00
_cell_angle_beta 104.97
_cell_angle_gamma 90.00
_space_group_name_H-M_alt 'C 1 2/c 1'
_space_group_IT_number 15
loop_
_space_group_symop_operation_xyz
'x,y,z'
'-x,-y,-z'
'-x,y,-z+1/2'
'x,-y,z+1/2'
'x+1/2,y+1/2,z'
'-x+1/2,-y+1/2,-z'
'-x+1/2,y+1/2,-z+1/2'
'x+1/2,-y+1/2,z+1/2'
loop_
_atom_site_label
_atom_site_type_symbol
_atom_site_fract_x
_atom_site_fract_y
_atom_site_fract_z
Cr1 Cr 0.250 0.250 0.000
Ge1 Ge 0.000 0.000 0.000
S1 S 0.163 0.246 0.608



# Li2La3In7 GGA-PBE optimized geometry
# total magnetic moment: 0.00 μB/atom
# formation energy from the elements: -41.86 kJ per mole of atoms
# energy: -3.582 eV/atom
data_Li2La3In7
_chemical_formula_sum 'Li6 La9 In21'
_cell_length_a 6.1448
_cell_length_b 6.1448
_cell_length_c 28.0100
_cell_angle_alpha 90.00
_cell_angle_beta 90.00
_cell_angle_gamma 120.00
_space_group_name_H-M_alt 'R -3 m'
_space_group_IT_number 166
_space_group_name_Hall '-R 3 2"'
loop_
_atom_site_label
_atom_site_type_symbol
_atom_site_fract_x
_atom_site_fract_y
_atom_site_fract_z
Li1 Li 0.0000 0.0000 0.1642
La1 La 0.0000 0.0000 0.3599
La2 La 0.0000 0.0000 0.5000
In1 In 0.0000 0.0000 0.0000
In2 In 0.0080 0.5040 0.4216